Computed, not measured: an optimized crystal structure of CsSn3Mo at the PBE level of DFT.

Unit cell a=5.3671 b=5.3671 c=5.3671 alpha=90.00 beta=90.00 gamma=90.00
Closest atoms and distances in Å follow each position.
Sites, in units of the cell vectors:
Cs (0.5000, 0.5000, 0.5000)  12 Sn 3.80
Sn (0.0000, 0.0000, 0.5000)  2 Mo 2.68
Sn (0.0000, 0.5000, 0.0000)  2 Mo 2.68
Sn (0.5000, 0.0000, 0.0000)  2 Mo 2.68
Mo (0.0000, 0.0000, 0.0000)  6 Sn 2.68

Calculated values
* D(E_F): 2.86 states/eV per cell
* formation energy: 0.06 eV/atom

---

Computed, not measured: an optimized crystal structure of CsSn3Mo at the PBE level of DFT.

Unit cell a=6.0522 b=6.0522 c=6.0522 alpha=90.00 beta=90.00 gamma=90.00
Closest atoms and distances in Å follow each position.
Sites, in units of the cell vectors:
Sn (0.0000, 0.5000, 0.0000)  2 Cs 3.03
Sn (0.0000, 0.0000, 0.5000)  2 Cs 3.03
Sn (0.5000, 0.0000, 0.0000)  2 Cs 3.03
Mo (0.5000, 0.5000, 0.5000)  12 Sn 4.28
Cs (0.0000, 0.0000, 0.0000)  6 Sn 3.03

Calculated values
* D(E_F): 5.29 states/eV per cell
* formation energy: 2.19 eV/atom

---

Computed, not measured: an optimized crystal structure of CsSnMo3 at the PBE level of DFT.

Unit cell a=5.4127 b=5.4127 c=5.4127 alpha=90.00 beta=90.00 gamma=90.00
Closest atoms and distances in Å follow each position.
Sites, in units of the cell vectors:
Cs (0.5000, 0.5000, 0.5000)  12 Mo 3.83
Mo (0.0000, 0.0000, 0.5000)  2 Sn 2.71
Mo (0.0000, 0.5000, 0.0000)  2 Sn 2.71
Mo (0.5000, 0.0000, 0.0000)  2 Sn 2.71
Sn (0.0000, 0.0000, 0.0000)  6 Mo 2.71

Calculated values
* D(E_F): 6.47 states/eV per cell
* formation energy: 2.25 eV/atom

---

Computed, not measured: an optimized crystal structure of CsSnMo3 at the PBE level of DFT.

Unit cell a=4.9730 b=4.9730 c=4.9730 alpha=90.00 beta=90.00 gamma=90.00
Closest atoms and distances in Å follow each position.
Sites, in units of the cell vectors:
Mo (0.0000, 0.0000, 0.5000)  2 Cs 2.49
Mo (0.0000, 0.5000, 0.0000)  2 Cs 2.49
Mo (0.5000, 0.0000, 0.0000)  2 Cs 2.49
Sn (0.5000, 0.5000, 0.5000)  12 Mo 3.52
Cs (0.0000, 0.0000, 0.0000)  6 Mo 2.49

Calculated values
* D(E_F): 5.40 states/eV per cell
* formation energy: 3.03 eV/atom

---

What is the formation energy in the second record? 2.19 eV/atom

---

The lowest formation energy belongs to which entry? number 1

---

The highest formation energy belongs to which entry? number 4

---

Number 3 is which compound? CsSnMo3